[1]
BSb2TeCl | PBE-GGA | relaxed

Summary:
Total magnetic moment   0.000 μB per atom
Space-group type   No. 123
E_tot   -16.90 eV per cell

a b c (Å): 4.956 4.956 4.859
angles (deg): 90.00 90.00 90.00
Element x y z (fractional)
Sb 0.000 0.500 0.000
Sb 0.500 0.000 0.000
B 0.000 0.000 0.000
Te 0.000 0.000 0.500
Cl 0.500 0.500 0.500

[2]
ScB3Cl | PBE-GGA | relaxed

Summary:
Total magnetic moment   0.000 μB per atom
Space-group type   No. 221
E_tot   -19.43 eV per cell

a b c (Å): 3.964 3.964 3.964
angles (deg): 90.00 90.00 90.00
Element x y z (fractional)
Sc 0.500 0.500 0.500
B 0.000 0.500 0.000
B 0.000 0.000 0.500
B 0.500 0.000 0.000
Cl 0.000 0.000 0.000

[3]
ScB2Cl | PBE-GGA | relaxed

Summary:
Total magnetic moment   0.000 μB per atom
Space-group type   No. 225
E_tot   -16.05 eV per cell

a b c (Å): 4.339 4.339 4.339
angles (deg): 60.00 60.00 60.00
Element x y z (fractional)
Sc 0.500 0.500 0.500
B 0.250 0.250 0.250
B 0.750 0.750 0.750
Cl 0.000 0.000 0.000

[4]
Sc7BCl12 | PBE-GGA | relaxed

Summary:
Total magnetic moment   0.002 μB per atom
Space-group type   No. 148
E_tot   -109.92 eV per cell

a b c (Å): 8.193 8.193 8.193
angles (deg): 107.51 107.51 107.51
Element x y z (fractional)
Sc 0.500 0.500 0.500
Sc 0.029 0.311 0.103
Sc 0.311 0.103 0.029
Sc 0.103 0.029 0.311
Sc 0.971 0.689 0.897
Sc 0.689 0.897 0.971
Sc 0.897 0.971 0.689
B 0.000 0.000 0.000
Cl 0.925 0.314 0.778
Cl 0.314 0.778 0.925
Cl 0.778 0.925 0.314
Cl 0.075 0.686 0.222
Cl 0.686 0.222 0.075
Cl 0.222 0.075 0.686
Cl 0.383 0.461 0.158
Cl 0.461 0.158 0.383
Cl 0.158 0.383 0.461
Cl 0.617 0.539 0.842
Cl 0.539 0.842 0.617
Cl 0.842 0.617 0.539

[5]
ScB3Cl | PBE-GGA | relaxed

Summary:
Total magnetic moment   0.430 μB per atom
Space-group type   No. 221
E_tot   -17.50 eV per cell

a b c (Å): 4.758 4.758 4.758
angles (deg): 90.00 90.00 90.00
Last column: magnetic moment on the atom in μB.
Element x y z (fractional)
Sc 0.000 0.000 0.000  0.51
B 0.000 0.500 0.000  0.29
B 0.000 0.000 0.500  0.27
B 0.500 0.000 0.000  0.17
Cl 0.500 0.500 0.500  0.07

[6]
ScB2Cl | PBE-GGA | relaxed

Summary:
Total magnetic moment   0.000 μB per atom
Space-group type   No. 122
E_tot   -34.60 eV per cell

a b c (Å): 5.771 5.771 5.277
angles (deg): 56.85 56.85 90.00
Element x y z (fractional)
Sc 0.000 0.000 0.000
Sc 0.750 0.250 0.500
B 0.559 0.125 0.250
B 0.191 0.625 0.250
B 0.375 0.441 0.750
B 0.875 0.809 0.750
Cl 0.500 0.500 0.000
Cl 0.250 0.750 0.500

[7]
Sc4BCl6 | PBE-GGA | relaxed

Summary:
Total magnetic moment   0.000 μB per atom
Space-group type   No. 55
E_tot   -124.91 eV per cell

a b c (Å): 3.608 12.057 12.286
angles (deg): 90.00 90.00 90.00
Element x y z (fractional)
Sc 0.000 0.100 0.088
Sc 0.000 0.900 0.912
Sc 0.000 0.600 0.412
Sc 0.000 0.400 0.588
Sc 0.500 0.129 0.858
Sc 0.500 0.871 0.142
Sc 0.500 0.629 0.642
Sc 0.500 0.371 0.358
B 0.500 0.000 0.000
B 0.500 0.500 0.500
Cl 0.500 0.280 0.692
Cl 0.500 0.720 0.308
Cl 0.500 0.780 0.808
Cl 0.500 0.220 0.192
Cl 0.000 0.257 0.941
Cl 0.000 0.743 0.059
Cl 0.000 0.468 0.243
Cl 0.000 0.532 0.757
Cl 0.000 0.968 0.257
Cl 0.000 0.032 0.743
Cl 0.000 0.243 0.441
Cl 0.000 0.757 0.559

[8]
BSeCl2 | PBE-GGA | relaxed

Summary:
Total magnetic moment   0.463 μB per atom
Space-group type   No. 227
E_tot   -22.71 eV per cell

a b c (Å): 6.484 6.484 6.488
angles (deg): 60.02 60.02 90.00
Last column: magnetic moment on the atom in μB.
Element x y z (fractional)
B 0.500 0.500 0.000  0.01
B 0.250 0.750 0.500  0.01
Se 0.000 0.000 0.000  1.06
Se 0.750 0.250 0.500  1.06
Cl 0.376 0.125 0.250  0.03
Cl 0.374 0.625 0.250  0.03
Cl 0.375 0.624 0.750  0.03
Cl 0.875 0.626 0.750  0.03